The following is a DFT calculation (GGA-PBE) of an optimized crystal structure of Cd3SbRh. Values from VASP.

Values from the calculation:
ΔE to the lowest computed polymorph = 0 meV/atom
density = 6.9 g/cm³
space group = Pm-3m (221)
total DFT energy (no corrections) = -0.0915 hartree per atom

Geometry as Quantum ESPRESSO input:
```
&SYSTEM
  ibrav = 0, nat = 5, ntyp = 3
/
ATOMIC_SPECIES
Sb 121.76 Sb.upf
Cd 112.41 Cd.upf
Rh 102.91 Rh.upf
CELL_PARAMETERS angstrom
5.126 0.000 0.000
0.000 5.126 0.000
0.000 0.000 5.126
ATOMIC_POSITIONS crystal
Sb 0.500 0.500 0.500
Cd 0.000 0.500 0.000
Cd 0.000 0.000 0.500
Rh 0.000 0.000 0.000
Cd 0.500 0.000 0.000
```